i) ZnSb2As, relaxed, DFT PBE-GGA; calculated density = 6.83 g cm⁻³; M_tot = 0.00 μB per formula unit
1.0
5.306 -0.492 -0.130
1.346 5.156 0.130
-2.729 -3.183 3.291
Sb Zn As
2 1 1
direct
0.987 0.987 0.000 Sb
0.513 0.513 0.000 Sb
0.750 0.250 0.500 Zn
0.250 0.750 0.500 As

---

ii) ZnSb2As, relaxed, DFT PBE-GGA; calculated density = 6.89 g cm⁻³; M_tot = 0.00 μB per formula unit
1.0
-0.017 2.158 2.608
-2.392 -2.300 0.665
5.680 -4.757 3.973
Zn Sb As
1 2 1
direct
0.500 0.500 0.250 Zn
0.000 0.000 0.492 Sb
0.000 0.000 0.008 Sb
0.500 0.500 0.750 As

---

iii) ZnSb2As, relaxed, DFT PBE-GGA; calculated density = 6.64 g cm⁻³; M_tot = 0.00 μB per formula unit
1.0
3.970 0.000 0.000
0.000 4.248 0.000
0.000 0.000 5.693
Sb As Zn
2 1 1
direct
0.500 0.500 0.375 Sb
0.000 0.000 0.875 Sb
0.500 0.500 0.875 As
0.000 0.000 0.375 Zn

---

iv) ZnSb2As, relaxed, DFT PBE-GGA; calculated density = 6.97 g cm⁻³; M_tot = 0.00 μB per formula unit
1.0
-3.013 0.698 0.999
0.413 -3.203 0.363
3.100 1.353 8.408
Zn Sb As
1 2 1
direct
0.000 0.000 0.524 Zn
0.000 0.000 0.976 Sb
0.500 0.500 0.284 Sb
0.500 0.500 0.716 As

---

The winner here is iii), beating the second structure by 0.158 eV/atom.